Model one:
Density functional theory data (PBE) for crystalline Ca4TbSe5 at its relaxed geometry.

Output
The calculation puts the magnetic moment at 0.0 μB/f.u.

Unit cell a=15.121 b=15.121 c=15.121 alpha=164.13 beta=164.13 gamma=22.52
Fractional coordinates of all 10 atoms:
Ca: 0.100 0.100 0.000
Ca: 0.300 0.300 0.000
Ca: 0.700 0.700 0.000
Ca: 0.900 0.900 0.000
Tb: 0.500 0.500 0.000
Se: 0.000 0.000 0.000
Se: 0.200 0.200 0.000
Se: 0.402 0.402 0.000
Se: 0.598 0.598 0.000
Se: 0.800 0.800 0.000


Model two:
Density functional theory data (PBE) for crystalline Ca4TbSe5 at its relaxed geometry.

Output
The calculation puts the magnetic moment at 0.0 μB/f.u.

Unit cell a=7.240 b=7.240 c=7.240 alpha=99.57 beta=99.57 gamma=131.88
Fractional coordinates of all 10 atoms:
Ca: 0.099 0.301 0.400
Ca: 0.301 0.901 0.202
Ca: 0.699 0.099 0.798
Ca: 0.901 0.699 0.600
Tb: 0.500 0.500 0.000
Se: 0.000 0.000 0.000
Se: 0.204 0.599 0.803
Se: 0.401 0.204 0.605
Se: 0.599 0.796 0.395
Se: 0.796 0.401 0.197


Most stable of them? model one.


Model one:
Density functional theory data (PBE) for crystalline Ca2TcTeSe at its relaxed geometry.

Output
The calculation puts the magnetic moment at 0.7 μB/f.u.

Unit cell a=5.720 b=5.720 c=4.562 alpha=90.00 beta=90.00 gamma=90.00
Fractional coordinates of all 5 atoms:
Ca: 0.000 0.500 0.000
Ca: 0.500 0.000 0.000
Tc: 0.000 0.000 0.000
Te: 0.500 0.500 0.500
Se: 0.000 0.000 0.500


Model two:
Density functional theory data (PBE) for crystalline Ca2TcTeSe at its relaxed geometry.

Output
The calculation puts the magnetic moment at 3.9 μB/f.u.

Unit cell a=5.433 b=5.433 c=5.706 alpha=90.00 beta=90.00 gamma=90.00
Fractional coordinates of all 5 atoms:
Ca: 0.000 0.500 0.000
Ca: 0.500 0.000 0.000
Tc: 0.000 0.000 0.500
Te: 0.500 0.500 0.500
Se: 0.500 0.500 0.000


Model three:
Density functional theory data (PBE) for crystalline Ca2TcTeSe at its relaxed geometry.

Output
The calculation puts the magnetic moment at 1.5 μB/f.u.

Unit cell a=5.605 b=5.605 c=4.598 alpha=90.00 beta=90.00 gamma=90.00
Fractional coordinates of all 5 atoms:
Ca: 0.000 0.500 0.000
Ca: 0.500 0.000 0.000
Tc: 0.000 0.000 0.500
Te: 0.500 0.500 0.500
Se: 0.000 0.000 0.000


Most stable of them? model three.


Model one:
Density functional theory data (PBE) for crystalline CaTeSe3 at its relaxed geometry.

Output
The calculation puts the magnetic moment at 0.0 μB/f.u.

Unit cell a=5.342 b=5.342 c=5.342 alpha=90.00 beta=90.00 gamma=90.00
Fractional coordinates of all 5 atoms:
Ca: 0.000 0.000 0.000
Te: 0.500 0.500 0.500
Se: 0.000 0.500 0.500
Se: 0.500 0.000 0.500
Se: 0.500 0.500 0.000


Model two:
Density functional theory data (PBE) for crystalline CaTeSe3 at its relaxed geometry.

Output
The calculation puts the magnetic moment at 0.0 μB/f.u.

Unit cell a=5.410 b=5.410 c=5.410 alpha=90.00 beta=90.00 gamma=90.00
Fractional coordinates of all 5 atoms:
Ca: 0.000 0.000 0.000
Te: 0.500 0.500 0.500
Se: 0.000 0.000 0.500
Se: 0.000 0.500 0.000
Se: 0.500 0.000 0.000


Most stable of them? model one.